Density functional theory data (PBE) for a relaxed Zn2Sb2Pt crystal.

Calculated values
For the formation energy from raw total energies, the calculation gives 0.35 eV per formula unit. The calculation puts the polymorph energy (0 for the lowest one) at 0 meV/atom.

Lattice parameters (Å, degrees): 6.7675 6.7675 4.3868 90.00 90.00 90.00
Last column: nearest neighbours and their distance in Å.
Space group P4/mbm (No. 127)
Inequivalent atoms, fractional coordinates:
Zn (0.1372, 0.3628, 0.0000) (multiplicity 4)  2 Pt 2.62, 1 Zn 2.63, 2 Sb 2.85
Sb (0.1719, 0.6719, 0.5000) (multiplicity 4)  6 Zn 2.85-3.04
Pt (0.0000, 0.0000, 0.0000) (multiplicity 2)  4 Zn 2.62

Density functional theory data (PBE) for a relaxed ZnSbPt4 crystal.

Calculated values
For the formation energy from raw total energies, the calculation gives -0.33 eV per formula unit.

Lattice parameters (Å, degrees): 7.5592 7.5592 7.5592 90.00 90.00 90.00
Last column: nearest neighbours and their distance in Å.
Space group F-43m (No. 216)
Inequivalent atoms, fractional coordinates:
Zn (0.0000, 0.0000, 0.0000) (multiplicity 4)  12 Pt 3.13, 4 Sb 3.27
Sb (0.2500, 0.2500, 0.2500) (multiplicity 4)  12 Pt 3.13, 4 Zn 3.27
Pt (0.1253, 0.1253, 0.6253) (multiplicity 16)  6 Pt 2.67-2.68

Density functional theory data (PBE) for a relaxed Zn3SbPt crystal.

Calculated values
For the formation energy from raw total energies, the calculation gives 0.49 eV per formula unit. The calculation puts the polymorph energy (0 for the lowest one) at 0 meV/atom.

Lattice parameters (Å, degrees): 4.8271 4.8271 4.8271 90.00 90.00 90.00
Last column: nearest neighbours and their distance in Å.
Space group Pm-3m (No. 221)
Inequivalent atoms, fractional coordinates:
Zn (0.0000, 0.0000, 0.5000) (multiplicity 3)  2 Pt 2.41
Sb (0.5000, 0.5000, 0.5000) (multiplicity 1)  12 Zn 3.41
Pt (0.0000, 0.0000, 0.0000) (multiplicity 1)  6 Zn 2.41

Density functional theory data (PBE) for a relaxed Zn3SbPt12 crystal.

Calculated values
For the formation energy from raw total energies, the calculation gives -5.06 eV per formula unit.

Lattice parameters (Å, degrees): 3.9634 3.9634 15.9200 90.00 90.00 90.00
Last column: nearest neighbours and their distance in Å.
Space group P4/mmm (No. 123)
Inequivalent atoms, fractional coordinates:
Zn (0.0000, 0.0000, 0.0000) (multiplicity 1)  12 Pt 2.77-2.80
Zn (0.0000, 0.0000, 0.2421) (multiplicity 2)  12 Pt 2.75-2.80
Sb (0.0000, 0.0000, 0.5000) (multiplicity 1)  12 Pt 2.80-2.90
Pt (0.0000, 0.5000, 0.1220) (multiplicity 4)  4 Zn 2.75-2.77, 8 Pt 2.77-2.80
Pt (0.0000, 0.5000, 0.3666) (multiplicity 4)  8 Pt 2.77-2.90, 2 Zn 2.80, 2 Sb 2.90
Pt (0.5000, 0.5000, 0.0000) (multiplicity 1)  8 Pt 2.77, 4 Zn 2.80
Pt (0.5000, 0.5000, 0.2450) (multiplicity 2)  8 Pt 2.77-2.79, 4 Zn 2.80
Pt (0.5000, 0.5000, 0.5000) (multiplicity 1)  4 Sb 2.80, 8 Pt 2.90

Density functional theory data (PBE) for a relaxed Zn2SbPt8 crystal.

Calculated values
For the formation energy from raw total energies, the calculation gives -2.91 eV per formula unit.

Lattice parameters (Å, degrees): 14.1861 4.0901 6.2210 90.00 103.92 90.00
Last column: nearest neighbours and their distance in Å.
Space group C2/m (No. 12)
Inequivalent atoms, fractional coordinates:
Zn (0.2219, 0.0000, 0.1491) (multiplicity 4)  10 Pt 2.60-2.85
Sb (0.0000, 0.5000, 0.5000) (multiplicity 2)  8 Pt 2.68-2.87
Pt (0.0438, 0.0000, 0.2298) (multiplicity 4)  1 Zn 2.69, 2 Sb 2.81, 8 Pt 2.83-2.90
Pt (0.0950, 0.5000, 0.9632) (multiplicity 4)  8 Pt 2.78-2.89, 3 Zn 2.79-2.85, 1 Sb 2.87
Pt (0.1542, 0.0000, 0.7220) (multiplicity 4)  3 Zn 2.60-2.69, 6 Pt 2.74-2.90
Pt (0.1790, 0.5000, 0.4276) (multiplicity 4)  3 Zn 2.67-2.84, 1 Sb 2.68, 8 Pt 2.74-2.87

Density functional theory data (PBE) for a relaxed ZnSbPt3 crystal.

Calculated values
For the formation energy from raw total energies, the calculation gives 2.44 eV per formula unit. The calculation puts the polymorph energy (0 for the lowest one) at 0 meV/atom.

Lattice parameters (Å, degrees): 4.6596 4.6596 4.6596 90.00 90.00 90.00
Last column: nearest neighbours and their distance in Å.
Space group Pm-3m (No. 221)
Inequivalent atoms, fractional coordinates:
Zn (0.0000, 0.0000, 0.0000) (multiplicity 1)  6 Pt 2.33
Sb (0.5000, 0.5000, 0.5000) (multiplicity 1)  12 Pt 3.29
Pt (0.0000, 0.0000, 0.5000) (multiplicity 3)  2 Zn 2.33

Density functional theory data (PBE) for a relaxed Zn2SbPt2 crystal.

Calculated values
For the formation energy from raw total energies, the calculation gives -1.95 eV per formula unit. The calculation puts the polymorph energy (0 for the lowest one) at 0 meV/atom.

Lattice parameters (Å, degrees): 7.6298 7.6298 2.9301 90.00 90.00 90.00
Last column: nearest neighbours and their distance in Å.
Space group P4/mbm (No. 127)
Inequivalent atoms, fractional coordinates:
Zn (0.1301, 0.3699, 0.0000) (multiplicity 4)  6 Pt 2.65-2.70, 3 Zn 2.81-2.93
Sb (0.0000, 0.0000, 0.5000) (multiplicity 2)  4 Pt 2.85, 2 Sb 2.93
Pt (0.1651, 0.6651, 0.5000) (multiplicity 4)  6 Zn 2.65-2.70, 2 Sb 2.85, 2 Pt 2.93

Density functional theory data (PBE) for a relaxed Zn2Sb2Pt crystal.

Calculated values
For the formation energy from raw total energies, the calculation gives 0.59 eV per formula unit. The calculation puts the polymorph energy (0 for the lowest one) at 47 meV/atom.

Lattice parameters (Å, degrees): 7.3661 7.3661 4.0471 90.00 90.00 90.00
Last column: nearest neighbours and their distance in Å.
Space group P4/mbm (No. 127)
Inequivalent atoms, fractional coordinates:
Zn (0.1253, 0.3747, 0.0000) (multiplicity 4)  1 Zn 2.61, 2 Sb 2.84
Sb (0.1838, 0.6838, 0.5000) (multiplicity 4)  2 Pt 2.69, 2 Zn 2.84
Pt (0.0000, 0.0000, 0.5000) (multiplicity 2)  4 Sb 2.69

Density functional theory data (PBE) for a relaxed Zn4SbPt crystal.

Calculated values
For the formation energy from raw total energies, the calculation gives 0.12 eV per formula unit.

Lattice parameters (Å, degrees): 7.3556 7.3556 7.3556 90.00 90.00 90.00
Last column: nearest neighbours and their distance in Å.
Space group F-43m (No. 216)
Inequivalent atoms, fractional coordinates:
Zn (0.1240, 0.1240, 0.1240) (multiplicity 16)  6 Zn 2.58-2.62
Sb (0.0000, 0.0000, 0.5000) (multiplicity 4)  12 Zn 3.05, 4 Pt 3.19
Pt (0.2500, 0.2500, 0.7500) (multiplicity 4)  12 Zn 3.05, 4 Sb 3.19

Density functional theory data (PBE) for a relaxed ZnSbPt6 crystal.

Calculated values
For the formation energy from raw total energies, the calculation gives -2.47 eV per formula unit.

Lattice parameters (Å, degrees): 4.0006 4.0006 8.0235 90.00 90.00 90.00
Last column: nearest neighbours and their distance in Å.
Space group P4/mmm (No. 123)
Inequivalent atoms, fractional coordinates:
Zn (0.0000, 0.0000, 0.0000) (multiplicity 1)  12 Pt 2.78-2.83
Sb (0.0000, 0.0000, 0.5000) (multiplicity 1)  12 Pt 2.83-2.89
Pt (0.0000, 0.5000, 0.2400) (multiplicity 4)  8 Pt 2.78-2.89, 2 Zn 2.78, 2 Sb 2.89
Pt (0.5000, 0.5000, 0.0000) (multiplicity 1)  8 Pt 2.78, 4 Zn 2.83
Pt (0.5000, 0.5000, 0.5000) (multiplicity 1)  4 Sb 2.83, 8 Pt 2.89

Density functional theory data (PBE) for a relaxed Zn2SbPt2 crystal.

Calculated values
For the formation energy from raw total energies, the calculation gives -1.50 eV per formula unit. The calculation puts the polymorph energy (0 for the lowest one) at 89 meV/atom.

Lattice parameters (Å, degrees): 7.6589 7.6589 2.9005 90.00 90.00 90.00
Last column: nearest neighbours and their distance in Å.
Space group P4/mbm (No. 127)
Inequivalent atoms, fractional coordinates:
Zn (0.1226, 0.3774, 0.0000) (multiplicity 4)  3 Zn 2.66-2.90, 6 Pt 2.66-2.71
Sb (0.0000, 0.0000, 0.0000) (multiplicity 2)  2 Sb 2.90, 4 Zn 3.04, 8 Pt 3.19
Pt (0.1718, 0.6718, 0.5000) (multiplicity 4)  6 Zn 2.66-2.71, 2 Pt 2.90

Density functional theory data (PBE) for a relaxed Zn4SbPt15 crystal.

Calculated values
For the formation energy from raw total energies, the calculation gives -6.31 eV per formula unit.

Lattice parameters (Å, degrees): 3.9505 3.9505 19.9288 90.00 90.00 90.00
Last column: nearest neighbours and their distance in Å.
Space group P4/mmm (No. 123)
Inequivalent atoms, fractional coordinates:
Zn (0.0000, 0.0000, 0.0986) (multiplicity 2)  12 Pt 2.78-2.79
Zn (0.0000, 0.0000, 0.2931) (multiplicity 2)  12 Pt 2.76-2.80
Sb (0.0000, 0.0000, 0.5000) (multiplicity 1)  12 Pt 2.79-2.91
Pt (0.0000, 0.5000, 0.0000) (multiplicity 2)  8 Pt 2.78-2.79, 4 Zn 2.79
Pt (0.0000, 0.5000, 0.1965) (multiplicity 4)  4 Zn 2.76-2.78, 8 Pt 2.78-2.79
Pt (0.0000, 0.5000, 0.3928) (multiplicity 4)  8 Pt 2.77-2.91, 2 Zn 2.80, 2 Sb 2.91
Pt (0.5000, 0.5000, 0.0983) (multiplicity 2)  8 Pt 2.78, 4 Zn 2.79
Pt (0.5000, 0.5000, 0.2952) (multiplicity 2)  8 Pt 2.77-2.79, 4 Zn 2.79
Pt (0.5000, 0.5000, 0.5000) (multiplicity 1)  4 Sb 2.79, 8 Pt 2.91

Density functional theory data (PBE) for a relaxed ZrSbPt3 crystal.

Calculated values
For the formation energy from raw total energies, the calculation gives 2.96 eV per formula unit. The calculation puts the polymorph energy (0 for the lowest one) at 140 meV/atom.

Lattice parameters (Å, degrees): 4.9784 4.9784 4.9784 90.00 90.00 90.00
Last column: nearest neighbours and their distance in Å.
Space group Pm-3m (No. 221)
Inequivalent atoms, fractional coordinates:
Zr (0.0000, 0.0000, 0.0000) (multiplicity 1)  6 Pt 2.49
Sb (0.5000, 0.5000, 0.5000) (multiplicity 1)  12 Pt 3.52
Pt (0.0000, 0.0000, 0.5000) (multiplicity 3)  2 Zr 2.49

Density functional theory data (PBE) for a relaxed ZrSbPt2 crystal.

Calculated values
For the formation energy from raw total energies, the calculation gives -2.41 eV per formula unit.

Lattice parameters (Å, degrees): 9.3836 3.6196 4.6834 90.00 100.31 90.00
Last column: nearest neighbours and their distance in Å.
Space group Cm (No. 8)
Inequivalent atoms, fractional coordinates:
Zr (0.0000, 0.0000, 0.0000) (multiplicity 2)  5 Pt 2.79-2.83, 1 Sb 2.91
Sb (0.2313, 0.0000, 0.6612) (multiplicity 2)  3 Pt 2.66-2.88, 1 Zr 2.91
Pt (0.2303, 0.5000, 0.1830) (multiplicity 2)  3 Zr 2.81-2.83, 4 Sb 2.88-3.04, 3 Pt 2.88-2.99
Pt (0.4736, 0.0000, 0.4408) (multiplicity 2)  1 Sb 2.66, 2 Zr 2.79, 1 Pt 2.88

Density functional theory data (PBE) for a relaxed Zr2SbPt crystal.

Calculated values
For the formation energy from raw total energies, the calculation gives -2.77 eV per formula unit.

Lattice parameters (Å, degrees): 4.3885 4.4238 8.3286 90.00 90.00 90.00
Last column: nearest neighbours and their distance in Å.
Space group Immm (No. 71)
Inequivalent atoms, fractional coordinates:
Zr (0.0000, 0.0000, 0.2496) (multiplicity 4)  4 Pt 3.02-3.04, 4 Sb 3.03-3.04, 4 Zr 3.12
Sb (0.0000, 0.5000, 0.0000) (multiplicity 2)  8 Zr 3.03-3.04, 4 Pt 3.12
Pt (0.0000, 0.5000, 0.5000) (multiplicity 2)  8 Zr 3.02-3.04, 4 Sb 3.12

Density functional theory data (PBE) for a relaxed ZrSbPt2 crystal.

Calculated values
For the formation energy from raw total energies, the calculation gives -2.30 eV per formula unit.

Lattice parameters (Å, degrees): 4.1910 4.1910 8.5136 90.00 90.00 90.00
Last column: nearest neighbours and their distance in Å.
Space group I-4m2 (No. 119)
Inequivalent atoms, fractional coordinates:
Zr (0.0000, 0.0000, 0.0000) (multiplicity 2)  8 Pt 2.96-2.99, 4 Sb 2.99
Sb (0.0000, 0.5000, 0.2500) (multiplicity 2)  8 Pt 2.96-2.99, 4 Zr 2.99
Pt (0.0000, 0.0000, 0.5000) (multiplicity 2)  4 Zr 2.96, 4 Sb 2.99, 4 Pt 2.99
Pt (0.0000, 0.5000, 0.7500) (multiplicity 2)  4 Sb 2.96, 4 Zr 2.99, 4 Pt 2.99

Density functional theory data (PBE) for a relaxed ZrSbPt2 crystal.

Calculated values
For the formation energy from raw total energies, the calculation gives -2.33 eV per formula unit.

Lattice parameters (Å, degrees): 4.1855 4.1855 16.3174 90.00 90.00 120.00
Last column: nearest neighbours and their distance in Å.
Space group R-3m (No. 166, hexagonal axes)
Inequivalent atoms, fractional coordinates:
Zr (0.0000, 0.0000, 0.0000) (multiplicity 3)  6 Pt 2.84
Sb (0.0000, 0.0000, 0.5000) (multiplicity 3)  6 Pt 2.71
Pt (0.0000, 0.0000, 0.2423) (multiplicity 6)  3 Sb 2.71, 3 Zr 2.84

Density functional theory data (PBE) for a relaxed ZrSbPt2 crystal.

Calculated values
For the formation energy from raw total energies, the calculation gives -2.60 eV per formula unit.

Lattice parameters (Å, degrees): 4.3954 4.3954 14.9341 90.00 90.00 120.00
Last column: nearest neighbours and their distance in Å.
Space group R3m (No. 160, hexagonal axes)
Inequivalent atoms, fractional coordinates:
Zr (0.0000, 0.0000, 0.0000) (multiplicity 3)  6 Pt 2.76-3.02, 1 Sb 2.91
Sb (0.0000, 0.0000, 0.8054) (multiplicity 3)  6 Pt 2.72-2.84, 1 Zr 2.91
Pt (0.0000, 0.0000, 0.2241) (multiplicity 3)  1 Pt 2.72, 3 Sb 2.84, 3 Zr 3.02
Pt (0.0000, 0.0000, 0.4063) (multiplicity 3)  1 Pt 2.72, 3 Sb 2.72, 3 Zr 2.76

Density functional theory data (PBE) for a relaxed Zr2SbPt crystal.

Calculated values
For the formation energy from raw total energies, the calculation gives -1.15 eV per formula unit.

Lattice parameters (Å, degrees): 3.3889 3.3889 27.0744 90.00 90.00 120.00
Last column: nearest neighbours and their distance in Å.
Space group R3m (No. 160, hexagonal axes)
Inequivalent atoms, fractional coordinates:
Zr (0.0000, 0.0000, 0.0000) (multiplicity 3)  3 Pt 2.69
Zr (0.0000, 0.0000, 0.2399) (multiplicity 3)  3 Sb 3.12, 9 Zr 3.20-3.39
Sb (0.0000, 0.0000, 0.4837) (multiplicity 3)  3 Pt 2.96, 3 Zr 3.12
Pt (0.0000, 0.0000, 0.7351) (multiplicity 3)  3 Zr 2.69, 3 Sb 2.96

Density functional theory data (PBE) for a relaxed Zr2SbPt crystal.

Calculated values
For the formation energy from raw total energies, the calculation gives -2.80 eV per formula unit.

Lattice parameters (Å, degrees): 5.8915 7.7663 3.5796 90.00 90.00 90.00
Last column: nearest neighbours and their distance in Å.
Space group Cmmm (No. 65)
Inequivalent atoms, fractional coordinates:
Zr (0.2500, 0.2500, 0.0000) (multiplicity 4)  2 Zr 2.95, 4 Sb 3.02, 4 Pt 3.02
Sb (0.0000, 0.0000, 0.5000) (multiplicity 2)  2 Pt 2.95, 8 Zr 3.02
Pt (0.0000, 0.5000, 0.5000) (multiplicity 2)  2 Sb 2.95, 8 Zr 3.02

V per entry: 20.091; 17.997; 22.495; 15.630; 15.925; 20.234; 17.057; 21.959; 16.582; 16.052; 17.014; 15.551; 24.678; 19.563; 20.211; 18.693; 20.630; 20.822; 22.440; 20.473 Å³/atom
Calculated density per entry: 9.41; 14.88; 7.57; 17.66; 17.19; 12.68; 12.51; 8.61; 9.65; 17.56; 12.55; 17.67; 10.74; 12.80; 10.26; 13.40; 12.14; 12.03; 9.24; 10.12 Mg/m³
E per entry: -16.5; -29.9; -13.5; -85.5; -57.9; -21.1; -20.7; -16.2; -15.1; -44.1; -20.3; -106.1; -27.8; -27.2; -30.0; -27.1; -27.1; -27.4; -28.4; -30.1 eV/f.u.